Entry 1:
TlGaSi2Tc, optimized geometry, DFT PBE; uncorrected formation energy = 1114 meV per atom; M_tot = 2.292 μB per formula unit; space-group type = P4/mmm
1.0
4.745 0.000 0.000
0.000 4.745 0.000
0.000 0.000 4.919
Tl Ga Si Tc
1 1 2 1
direct
0.000 0.000 0.000
0.500 0.500 0.500
0.000 0.500 0.500
0.500 0.000 0.500
0.500 0.500 0.000

Entry 2:
TmGa2SiTc2, optimized geometry, DFT PBE; uncorrected formation energy = -235 meV per atom; M_tot = 0.000 μB per formula unit; space-group type = P4/mmm
1.0
4.495 0.000 0.000
0.000 4.495 0.000
0.000 0.000 5.480
Tm Ga Si Tc
1 2 1 2
direct
0.000 0.000 0.000
0.500 0.500 0.233
0.500 0.500 0.767
0.000 0.000 0.500
0.000 0.500 0.500
0.500 0.000 0.500

Entry 3:
TmGaSiTc2, optimized geometry, DFT PBE; uncorrected formation energy = -297 meV per atom; M_tot = 0.000 μB per formula unit; space-group type = Cmcm
1.0
2.099 -5.919 0.000
2.099 5.919 0.000
0.000 0.000 7.399
Tm Ga Si Tc
2 2 2 4
direct
0.062 0.938 0.750
0.938 0.062 0.250
0.500 0.500 0.000
0.500 0.500 0.500
0.245 0.755 0.250
0.755 0.245 0.750
0.303 0.697 0.570
0.303 0.697 0.930
0.697 0.303 0.070
0.697 0.303 0.430

Entry 4:
Ga2SiTcW, optimized geometry, DFT PBE; uncorrected formation energy = 1178 meV per atom; M_tot = 4.064 μB per formula unit; space-group type = P4/mmm
1.0
4.857 0.000 0.000
0.000 4.857 0.000
0.000 0.000 4.678
Ga Si Tc W
2 1 1 1
direct
0.000 0.500 0.000
0.500 0.000 0.000
0.000 0.000 0.500
0.500 0.500 0.500
0.000 0.000 0.000